A relaxed structure of NbCuAu4. Source: the Alexandria database, functional PBE-GGA.

It has space group P4/mmm (No. 123), with a = 2.890 Å, b = 2.890 Å, c = 12.240 Å, α = 90.00°, β = 90.00° and γ = 90.00°. Symmetry generates all atoms from Nb at (0.000, 0.000, 0.000), Cu at (0.500, 0.500, 0.500), Au at (0.000, 0.000, 0.352) and Au at (0.500, 0.500, 0.170).

The crystal system is tetragonal. The calculation puts the density of states at the Fermi level at 3.6 states/eV per cell. The calculation puts the formation energy at -0.075 eV/atom. The value obtained for the total energy is -27.728 eV per formula unit.